Density functional theory data (PBE with a Hubbard U) for TiFeF2 after structural relaxation.

Computed properties:
- Fermi-level density of states (states/eV/atom) = 0.626
- volume (Å³ per cell) = 49.88
- raw total energy (eV/atom) = -5.2560

Cell lengths 4.132, 4.132, 4.132 Å; angles 60.00, 60.00, 60.00 degrees
Atoms (fractional coordinates):
Ti 0.000 0.000 0.000
Fe 0.500 0.500 0.500
F 0.250 0.250 0.250
F 0.750 0.750 0.750